PBE Ca2RePt, optimized geometry; energy relative to the elements = 0.35 eV/atom; N(E_F) = 4.19 states/eV/f.u.; energy above the most stable polymorph in this dataset = 0.294 eV per atom
1.0
4.3496 0.0000 0.0000
0.0000 4.3496 0.0000
0.0000 0.0000 8.7082
Ca Re Pt
4 2 2
Cartesian
0.0000 2.1748 2.1771
0.0000 2.1748 6.5312
2.1748 0.0000 2.1771
2.1748 0.0000 6.5312
0.0000 0.0000 0.0000
2.1748 2.1748 4.3541
0.0000 0.0000 4.3541
2.1748 2.1748 0.0000

---

PBE Ca2RePt, optimized geometry; energy relative to the elements = 0.26 eV/atom; N(E_F) = 4.52 states/eV/f.u.; energy above the most stable polymorph in this dataset = 0.200 eV per atom
1.0
2.8888 0.0000 0.0000
0.0000 5.0310 0.0000
-0.0079 0.0000 5.5709
Ca Re Pt
2 1 1
Cartesian
0.0000 0.0000 0.0000
0.0033 2.5155 3.7063
1.4454 0.0000 2.6171
1.4462 2.5155 1.1105

---

PBE Ca3RePt, optimized geometry; energy relative to the elements = 0.59 eV/atom; N(E_F) = 4.34 states/eV/f.u.; energy above the most stable polymorph in this dataset = 0.000 eV per atom
1.0
5.4179 0.0000 0.0000
0.0000 5.4179 0.0000
0.0000 0.0000 5.4179
Ca Re Pt
3 1 1
Cartesian
0.0000 0.0000 2.7090
0.0000 2.7090 0.0000
2.7090 0.0000 0.0000
2.7090 2.7090 2.7090
0.0000 0.0000 0.0000

---

> N(E_F) of number 1 (Ca2RePt)?

4.19 states/eV/f.u.